# 1
Below is crystalline MnAgH2F at its relaxed geometry, with properties calculated at the PBE with a Hubbard U level.

Calculated volume ... 12.1 A^3/atom
Uncorrected energy ... -4.097 eV per atom
Fermi-level density of states ... 0.39 states/eV/cell

a = 3.7300 Å, b = 4.3448 Å, c = 3.7300 Å
α = 90.00°, β = 90.00°, γ = 90.00°
Fractional positions:
F 0.0000 0.5000 0.0000
Ag 0.5000 0.5000 0.5000
H 0.5000 0.0000 0.0000
H 0.0000 0.0000 0.5000
Mn 0.0000 0.0000 0.0000

# 2
Below is crystalline MnAgHF6 at its relaxed geometry, with properties calculated at the PBE with a Hubbard U level.

Calculated volume ... 13.2 A^3/atom
Uncorrected energy ... -4.561 eV per atom
Fermi-level density of states ... 0.30 states/eV/cell

a = 5.4652 Å, b = 5.0686 Å, c = 5.0983 Å
α = 89.68°, β = 80.29°, γ = 59.35°
Fractional positions:
F 0.0013 0.3342 0.3211
H 0.7874 0.3900 0.5191
F 0.0069 0.7024 0.7321
F 0.3108 0.0908 0.7388
F 0.6346 0.0337 0.2648
F 0.3295 0.6308 0.2503
Mn 0.3116 0.3706 0.4919
F 0.6311 0.4031 0.6741
Ag 0.9866 0.0445 0.0079

> Number 2 is which compound?

MnAgHF6

> Among the records above, which one has the lowest calculated volume?

MnAgH2F

> Which of these has the lowest uncorrected energy?

MnAgHF6